# 1
SnRuSe2N: relaxed, PBE-GGA.

Unit cell a=5.3697 b=5.3697 c=3.7484 alpha=90.00 beta=90.00 gamma=90.00
Element x y z (fractional)
N (0.0000, 0.0000, 0.5000)
Se (0.5000, 0.0000, 0.0000)
Se (0.0000, 0.5000, 0.0000)
Sn (0.5000, 0.5000, 0.5000)
Ru (0.0000, 0.0000, 0.0000)

Fermi-level density of states, states/eV per atom: 1.207
E_tot, eV/atom: -5.513
Formation energy (no corrections), eV/atom: 0.202

# 2
AlAg2Sb2: relaxed, PBE-GGA.

Unit cell a=4.3205 b=4.3205 c=7.4169 alpha=73.07 beta=73.07 gamma=90.00
Element x y z (fractional)
Sb (0.7500, 0.2500, 0.5000)
Sb (0.2500, 0.7500, 0.5000)
Ag (0.5979, 0.5979, 0.8042)
Ag (0.4021, 0.4021, 0.1958)
Al (0.0000, 0.0000, 0.0000)

Fermi-level density of states, states/eV per atom: 0.305
E_tot, eV/atom: -3.179
Formation energy (no corrections), eV/atom: 0.359

# 3
Be2PBr: relaxed, PBE-GGA.

Unit cell a=6.7721 b=6.7721 c=6.7721 alpha=149.86 beta=152.24 gamma=41.43
Element x y z (fractional)
Be (0.8808, 0.8808, 0.0000)
Be (0.2219, 0.7219, 0.5000)
Br (0.5910, 0.5910, 0.0000)
P (0.8064, 0.3064, 0.5000)

Fermi-level density of states, states/eV per atom: 0.157
E_tot, eV/atom: -3.456
Formation energy (no corrections), eV/atom: 0.178

# 4
Ca3ThPa2N6: relaxed, PBE-GGA.

Unit cell a=6.2211 b=6.2211 c=6.0870 alpha=99.80 beta=99.80 gamma=120.03
Element x y z (fractional)
N (0.5786, 0.9282, 0.7846)
N (0.4214, 0.0718, 0.2154)
N (0.2760, 0.2760, 0.7815)
N (0.9282, 0.5786, 0.7846)
N (0.7240, 0.7240, 0.2185)
N (0.0718, 0.4214, 0.2154)
Ca (0.5000, 0.5000, 0.5000)
Ca (0.8320, 0.1680, 0.5000)
Ca (0.1680, 0.8320, 0.5000)
Th (0.0000, 0.0000, 0.0000)
Pa (0.3334, 0.6666, 0.0000)
Pa (0.6666, 0.3334, 0.0000)

Fermi-level density of states, states/eV per atom: 0.521
E_tot, eV/atom: -8.310
Formation energy (no corrections), eV/atom: -1.445

# 5
La4Au2Cl3: relaxed, PBE-GGA.

Unit cell a=4.3526 b=4.3526 c=17.3460 alpha=90.06 beta=89.94 gamma=120.00
Element x y z (fractional)
Au (0.6672, 0.3328, 0.7988)
Au (0.3328, 0.6672, 0.2012)
Cl (0.6656, 0.3344, 0.3960)
Cl (0.3344, 0.6656, 0.6040)
Cl (0.0000, 0.0000, 0.0000)
La (0.3337, 0.6663, 0.9010)
La (0.0008, 0.9992, 0.6958)
La (0.9992, 0.0008, 0.3041)
La (0.6663, 0.3337, 0.0990)

Fermi-level density of states, states/eV per atom: 0.804
E_tot, eV/atom: -4.922
Formation energy (no corrections), eV/atom: -1.388

# 6
CePH2Rh: relaxed, PBE-GGA.

Unit cell a=3.8162 b=5.4519 c=6.3920 alpha=90.00 beta=90.00 gamma=110.49
Element x y z (fractional)
H (0.8339, 0.6679, 0.0620)
H (0.8339, 0.6679, 0.4380)
H (0.1661, 0.3321, 0.5620)
H (0.1661, 0.3321, 0.9380)
Rh (0.0000, 0.0000, 0.0000)
Rh (0.0000, 0.0000, 0.5000)
Ce (0.2799, 0.5598, 0.2500)
Ce (0.7201, 0.4402, 0.7500)
P (0.4413, 0.8825, 0.7500)
P (0.5587, 0.1175, 0.2500)

Fermi-level density of states, states/eV per atom: 1.090
E_tot, eV/atom: -5.786

What did the sixth record say?
CePH2Rh: relaxed, PBE-GGA.

Unit cell a=3.8162 b=5.4519 c=6.3920 alpha=90.00 beta=90.00 gamma=110.49
Element x y z (fractional)
H (0.8339, 0.6679, 0.0620)
H (0.8339, 0.6679, 0.4380)
H (0.1661, 0.3321, 0.5620)
H (0.1661, 0.3321, 0.9380)
Rh (0.0000, 0.0000, 0.0000)
Rh (0.0000, 0.0000, 0.5000)
Ce (0.2799, 0.5598, 0.2500)
Ce (0.7201, 0.4402, 0.7500)
P (0.4413, 0.8825, 0.7500)
P (0.5587, 0.1175, 0.2500)

Fermi-level density of states, states/eV per atom: 1.090
E_tot, eV/atom: -5.786

> Which of these has the lowest Fermi-level density of states?

Be2PBr

> Among the records above, which one has the lowest E_tot?

Ca3ThPa2N6